No. 1
Sm4IrI5 PBE relaxed; formation energy (no corrections) = -1.1957 eV/atom; DOS(E_F) = 6.28 states/eV/f.u.
1.0
9.910 -2.110 0.000
9.910 2.110 0.000
-2.013 0.000 8.858
Sm Ir I
4 1 5
Cartesian
-0.408 0.000 1.802
18.214 0.000 7.055
5.190 0.000 8.182
12.617 0.000 0.676
9.910 0.000 0.000
2.636 0.000 3.052
1.812 0.000 7.357
8.903 0.000 4.429
15.995 0.000 1.501
15.171 0.000 5.806

No. 2
Tb2Th5C4 PBE relaxed; energy of formation from the pure elements = -1.00 eV/f.u.; DOS(E_F) = 6.51 states/eV/f.u.
1.0
8.990 -1.792 0.000
8.990 1.792 0.000
-3.956 0.000 7.663
Tb Th C
2 5 4
Cartesian
0.689 0.000 3.563
13.336 0.000 4.100
0.000 0.000 0.000
3.256 0.000 1.026
6.764 0.000 2.057
7.261 0.000 5.606
10.768 0.000 6.637
0.100 0.000 6.195
4.724 0.000 5.751
9.300 0.000 1.912
13.925 0.000 1.467

No. 3
Pm8InRu2 PBE relaxed; energy of formation from the pure elements = -1.83 eV/f.u.; DOS(E_F) = 11.66 states/eV/f.u.
1.0
4.485 -6.759 0.000
4.485 6.759 0.000
-1.272 0.000 5.402
Pm In Ru
8 1 2
Cartesian
-0.007 0.000 4.328
2.172 1.744 2.344
4.485 3.388 0.000
2.172 -1.744 2.344
5.524 1.744 3.059
4.485 -3.388 0.000
5.524 -1.744 3.059
7.704 0.000 1.074
4.485 0.000 0.000
3.848 4.151 2.701
3.848 -4.151 2.701

No. 4
VInPdPt2 PBE relaxed; energy of formation from the pure elements = 6.09 eV/f.u.; DOS(E_F) = 8.64 states/eV/f.u.
1.0
4.932 0.000 0.000
0.000 4.932 0.000
0.000 0.000 4.770
V In Pd Pt
1 1 1 2
Cartesian
0.000 0.000 0.000
2.466 2.466 0.000
2.466 2.466 2.385
0.000 2.466 2.385
2.466 0.000 2.385